Here is crystalline Mg3NbIn at its relaxed geometry from Alexandria. Energies are from PBE-GGA.

Summary:
VASP energy (eV per atom): -2.41
ΔH_f (0 K) (eV/atom): 1.11
Theoretical density (g/cm3): 3.52
E above lowest polymorph (meV per atom): 97

a = 5.0947 Å, b = 5.0947 Å, c = 5.0947 Å
α = 90.00°, β = 90.00°, γ = 90.00°
Element x y z (fractional)
Mg1 0.0000 0.0000 0.5000
Mg2 0.0000 0.5000 0.0000
Mg3 0.5000 0.0000 0.0000
Nb1 0.5000 0.5000 0.5000
In1 0.0000 0.0000 0.0000